A relaxed structure of ZrSbAsSe2, computed with PBEsol.

POSCAR file:
```
ZrSbAsSe2
1.0
-1.8900 1.7908 -4.3334
3.4846 -2.5897 -2.5900
-3.2633 -4.1141 -0.2769
Zr Sb Se As
1 1 2 1
Cartesian
0.0000 0.0000 0.0000
-0.8343 -2.4565 -3.6001
-0.9450 0.8954 -2.1667
1.7423 -1.2948 -1.2950
-1.6316 -2.0570 -0.1384
```

Symmetry: P4/mmm
Energy above the lowest structure with this stoichiometry (meV per atom): 0.0

---

A relaxed structure of ZrSbAsSe2, computed with PBEsol.

POSCAR file:
```
ZrSbAsSe2
1.0
-4.5903 0.2218 -2.2229
-2.2306 -0.2426 4.5820
0.0935 5.0912 0.3151
Sb Se Zr As
1 2 1 1
Cartesian
0.0000 0.0000 0.0000
0.0467 2.5456 0.1575
-1.1153 -0.1213 2.2910
-3.3637 2.5352 1.3371
-2.2951 0.1109 -1.1114
```

Symmetry: P4/mmm
Energy above the lowest structure with this stoichiometry (meV per atom): 633.0

---

A relaxed structure of Si2SbAs, computed with PBEsol.

POSCAR file:
```
Si2SbAs
1.0
3.3884 0.0000 0.0000
0.0000 4.5538 0.0000
0.0000 0.0000 4.8427
Sb Si As
1 2 1
Cartesian
0.0000 2.2769 2.4213
0.0000 0.0000 0.0000
1.6942 0.0000 2.4213
1.6942 2.2769 0.0000
```

Symmetry: Pmmm
Energy above the lowest structure with this stoichiometry (meV per atom): 295.0

---

A relaxed structure of Si2SbAs, computed with PBEsol.

POSCAR file:
```
Si2SbAs
1.0
3.7830 0.0000 0.0000
-1.8915 3.2847 -0.3465
0.0000 -1.4820 6.4623
Si Sb As
2 1 1
Cartesian
0.0000 1.2549 1.3160
1.8915 0.5477 4.7998
0.0000 -0.7410 3.2311
1.8915 0.0000 0.0000
```

Symmetry: C2/m
Energy above the lowest structure with this stoichiometry (meV per atom): 0.0

---

A relaxed structure of Si2SbAs, computed with PBEsol.

POSCAR file:
```
Si2SbAs
1.0
3.2032 0.0000 0.0000
0.0000 3.2032 0.0000
0.0000 0.0000 7.2256
Si As Sb
2 1 1
Cartesian
0.0000 0.0000 0.4387
1.6016 1.6016 1.6890
0.0000 0.0000 3.1855
1.6016 1.6016 5.5252
```

Symmetry: P4mm
Energy above the lowest structure with this stoichiometry (meV per atom): 169.7

---

A relaxed structure of Si3SbAs, computed with PBEsol.

POSCAR file:
```
Si3SbAs
1.0
5.0537 0.0000 0.0000
0.0000 5.0537 0.0000
0.0000 0.0000 5.0537
Si Sb As
3 1 1
Cartesian
2.5268 0.0000 0.0000
0.0000 2.5268 0.0000
0.0000 0.0000 2.5268
0.0000 0.0000 0.0000
2.5268 2.5268 2.5268
```

Symmetry: Pm-3m

---

Number 1: formation energy from raw total energies -0.23 eV/f.u.. Number 2: formation energy from raw total energies 2.93 eV/f.u.. Number 3: formation energy from raw total energies 1.92 eV/f.u.. Number 4: formation energy from raw total energies 0.74 eV/f.u.. Number 5: formation energy from raw total energies 1.42 eV/f.u.. Number 6: formation energy from raw total energies 7.19 eV/f.u..